Entry 1:
First-principles (PBE) data for crystalline PrTmLu2 at its relaxed geometry, as listed in the Alexandria database.

Cell: 4.003 4.003 7.906 Å, 90.00 90.00 90.00°
Space group P4/mmm (No. 123)
Unique sites:
Pr  0.000  0.000  0.000 [1 per cell]
Tm  0.000  0.000  0.500 [1 per cell]
Lu  0.500  0.500  0.266 [2 per cell]

Output
Energy above the lowest structure with this stoichiometry = 0.24 eV per formula unit
DFT formation energy = 96 meV per atom
Magnetization = 0.000 μB per formula unit
Calculated density = 8.6 g/cm3



Entry 2:
First-principles (PBE) data for crystalline Y2Er2AlGa4 at its relaxed geometry, as listed in the Alexandria database.

Cell: 6.959 6.959 8.785 Å, 90.00 90.00 90.00°
Space group I4/mmm (No. 139)
Unique sites:
Y  0.000  0.500  0.250 [4 per cell]
Er  0.000  0.000  0.186 [4 per cell]
Al  0.000  0.000  0.500 [2 per cell]
Ga  0.249  0.249  0.000 [8 per cell]

Output
DFT formation energy = -259 meV per atom
Magnetization = 0.000 μB per formula unit
Calculated density = 6.4 g/cm3



Entry 3:
First-principles (PBE) data for crystalline LiPr2Cd12 at its relaxed geometry, as listed in the Alexandria database.

Cell: 6.365 6.365 18.253 Å, 90.00 90.00 90.00°
Space group P4/nbm (No. 125, origin choice 2)
Unique sites:
Li  0.250  0.750  0.000 [2 per cell]
Pr  0.250  0.750  0.247 [4 per cell]
Cd  0.000  0.000  0.084 [8 per cell]
Cd  0.083  0.583  0.431 [8 per cell]
Cd  0.250  0.250  0.185 [4 per cell]
Cd  0.250  0.250  0.336 [4 per cell]

Output
DFT formation energy = -120 meV per atom
Magnetization = 0.000 μB per formula unit
Calculated density = 7.4 g/cm3



Entry 4:
First-principles (PBE) data for crystalline MgSiTe2 at its relaxed geometry, as listed in the Alexandria database.

Cell: 4.233 6.470 7.810 Å, 90.00 90.00 90.00°
Space group Cmmm (No. 65)
Unique sites:
Mg  0.000  0.000  0.000 [2 per cell]
Si  0.000  0.000  0.500 [2 per cell]
Te  0.000  0.500  0.253 [4 per cell]

Output
Energy above the lowest structure with this stoichiometry = 1.61 eV per formula unit
E_form (uncorrected) = 106 meV per atom
Magnetization = 0.000 μB per formula unit
Calculated density = 4.8 g/cm3



Entry 5:
First-principles (PBE) data for crystalline LiTb3Cd2 at its relaxed geometry, as listed in the Alexandria database.

Cell: 3.764 3.764 11.162 Å, 90.00 90.00 90.00°
Space group P4/mmm (No. 123)
Unique sites:
Li  0.000  0.000  0.000 [1 per cell]
Tb  0.500  0.500  0.168 [2 per cell]
Tb  0.500  0.500  0.500 [1 per cell]
Cd  0.000  0.000  0.331 [2 per cell]

Output
Energy above the lowest structure with this stoichiometry = 0.07 eV per formula unit
DFT formation energy = -172 meV per atom
Magnetization = 0.006 μB per formula unit
Calculated density = 7.4 g/cm3



Entry 6:
First-principles (PBE) data for crystalline La4Pm7Th at its relaxed geometry, as listed in the Alexandria database.

Cell: 3.6711 3.6711 36.1050 Å, 90.00 90.00 120.00°
Space group P-3m1 (No. 164)
Unique sites:
La  0.3333  0.6667  0.1657 [2 per cell]
La  0.3333  0.6667  0.4157 [2 per cell]
Pm  0.0000  0.0000  0.2490 [2 per cell]
Pm  0.0000  0.0000  0.5000 [1 per cell]
Pm  0.3333  0.6667  0.6685 [2 per cell]
Pm  0.3333  0.6667  0.9212 [2 per cell]
Th  0.0000  0.0000  0.0000 [1 per cell]

Output
Energy above the lowest structure with this stoichiometry = 0.00 eV per formula unit
DFT formation energy = 18 meV per atom
Magnetization = 0.000 μB per formula unit
Calculated density = 7.1 g/cm3



Entry 7:
First-principles (PBE) data for crystalline NdThRhI at its relaxed geometry, as listed in the Alexandria database.

Cell: 4.1922 4.1922 24.7248 Å, 90.00 90.00 120.00°
Space group R3m (No. 160, hexagonal axes)
Unique sites:
Nd  0.0000  0.0000  0.0000 [3 per cell]
Th  0.0000  0.0000  0.2122 [3 per cell]
Rh  0.0000  0.0000  0.6006 [3 per cell]
I  0.0000  0.0000  0.7721 [3 per cell]

Output
E_form (uncorrected) = -888 meV per atom
Magnetization = 0.000 μB per formula unit
Calculated density = 8.0 g/cm3



Entry 8:
First-principles (PBE) data for crystalline NaUInCl6 at its relaxed geometry, as listed in the Alexandria database.

Cell: 7.1771 7.1771 13.6263 Å, 90.00 90.00 120.00°
Space group P-31c (No. 163)
Unique sites:
Na  0.3333  0.6667  0.2500 [2 per cell]
U  0.3333  0.6667  0.7500 [2 per cell]
In  0.0000  0.0000  0.0000 [2 per cell]
Cl  0.0234  0.3763  0.6388 [12 per cell]

Output
E_form (uncorrected) = -1571 meV per atom
Magnetization = 2.000 μB per formula unit
Calculated density = 3.2 g/cm3



Entry 9:
First-principles (PBE) data for crystalline Y3HoRu2 at its relaxed geometry, as listed in the Alexandria database.

Cell: 6.718 13.512 7.050 Å, 90.00 90.00 90.00°
Space group Ibam (No. 72)
Unique sites:
Y  0.000  0.000  0.250 [4 per cell]
Y  0.000  0.265  0.250 [8 per cell]
Ho  0.000  0.500  0.000 [4 per cell]
Ru  0.223  0.134  0.000 [8 per cell]

Output
DFT formation energy = -218 meV per atom
Magnetization = 0.000 μB per formula unit
Calculated density = 6.6 g/cm3



Entry 10:
First-principles (PBE) data for crystalline Y2ZrPa at its relaxed geometry, as listed in the Alexandria database.

Cell: 3.2820 3.2820 35.4192 Å, 90.00 90.00 120.00°
Space group R-3m (No. 166, hexagonal axes)
Unique sites:
Y  0.0000  0.0000  0.0906 [6 per cell]
Zr  0.0000  0.0000  0.5000 [3 per cell]
Pa  0.0000  0.0000  0.0000 [3 per cell]

Output
DFT formation energy = 286 meV per atom
Magnetization = 0.000 μB per formula unit
Calculated density = 7.5 g/cm3



Entry 11:
First-principles (PBE) data for crystalline Na3Nd2TiS6 at its relaxed geometry, as listed in the Alexandria database.

Cell: 6.880 11.882 7.078 Å, 90.00 108.87 90.00°
Space group C2/m (No. 12)
Unique sites:
Na  0.000  0.000  0.000 [2 per cell]
Na  0.000  0.333  0.000 [4 per cell]
Nd  0.000  0.168  0.500 [4 per cell]
Ti  0.000  0.500  0.500 [2 per cell]
S  0.228  0.500  0.281 [4 per cell]
S  0.230  0.347  0.727 [8 per cell]

Output
E_form (uncorrected) = -1587 meV per atom
Magnetization = 1.010 μB per formula unit
Calculated density = 3.6 g/cm3



Entry 12:
First-principles (PBE) data for crystalline KCeP2 at its relaxed geometry, as listed in the Alexandria database.

Cell: 4.2929 4.2929 21.9539 Å, 90.00 90.00 120.00°
Space group R-3m (No. 166, hexagonal axes)
Unique sites:
K  0.0000  0.0000  0.0000 [3 per cell]
Ce  0.0000  0.0000  0.5000 [3 per cell]
P  0.0000  0.0000  0.2277 [6 per cell]

Output
DFT formation energy = -681 meV per atom
Magnetization = 0.078 μB per formula unit
Calculated density = 3.4 g/cm3



Entry 13:
First-principles (PBE) data for crystalline RbCuBiCl6 at its relaxed geometry, as listed in the Alexandria database.

Cell: 6.759 6.759 7.264 Å, 93.35 93.35 115.02°
Space group P1 (No. 1)
Unique sites:
Rb  0.000  0.000  0.000 [1 per cell]
Cu  0.691  0.310  0.500 [1 per cell]
Bi  0.345  0.655  0.500 [1 per cell]
Cl  0.007  0.342  0.669 [1 per cell]
Cl  0.030  0.611  0.251 [1 per cell]
Cl  0.388  0.970  0.749 [1 per cell]
Cl  0.434  0.335  0.293 [1 per cell]
Cl  0.658  0.994  0.331 [1 per cell]
Cl  0.665  0.567  0.707 [1 per cell]

Output
E_form (uncorrected) = -1051 meV per atom
Magnetization = 0.989 μB per formula unit
Calculated density = 3.2 g/cm3



Entry 14:
First-principles (PBE) data for crystalline YRu2W at its relaxed geometry, as listed in the Alexandria database.

Cell: 10.168 3.062 4.744 Å, 90.00 106.39 90.00°
Space group Cm (No. 8)
Unique sites:
Y  0.000  0.000  0.000 [2 per cell]
Ru  0.231  0.000  0.748 [2 per cell]
Ru  0.493  0.000  0.490 [2 per cell]
W  0.277  0.500  0.342 [2 per cell]

Output
Energy above the lowest structure with this stoichiometry = 1.14 eV per formula unit
DFT formation energy = 200 meV per atom
Magnetization = 0.000 μB per formula unit
Calculated density = 11.1 g/cm3



Entry 15:
First-principles (PBE) data for crystalline YBeCu2Rh at its relaxed geometry, as listed in the Alexandria database.

Cell: 4.200 4.200 4.365 Å, 90.00 90.00 90.00°
Space group P4/mmm (No. 123)
Unique sites:
Y  0.000  0.000  0.000 [1 per cell]
Be  0.500  0.500  0.500 [1 per cell]
Cu  0.000  0.500  0.500 [2 per cell]
Rh  0.500  0.500  0.000 [1 per cell]

Output
Energy above the lowest structure with this stoichiometry = 0.00 eV per formula unit
DFT formation energy = -233 meV per atom
Magnetization = 0.000 μB per formula unit
Calculated density = 7.1 g/cm3



Entry 16:
First-principles (PBE) data for crystalline Cs4PuIn3Br12 at its relaxed geometry, as listed in the Alexandria database.

Cell: 11.727 11.727 11.727 Å, 90.00 90.00 90.00°
Space group Im-3m (No. 229)
Unique sites:
Cs  0.250  0.250  0.250 [8 per cell]
Pu  0.000  0.000  0.000 [2 per cell]
In  0.000  0.000  0.500 [6 per cell]
Br  0.000  0.000  0.243 [12 per cell]
Br  0.000  0.250  0.500 [12 per cell]

Output
E_form (uncorrected) = -1335 meV per atom
Magnetization = 5.207 μB per formula unit
Calculated density = 4.3 g/cm3



Entry 17:
First-principles (PBE) data for crystalline SiIrBr2 at its relaxed geometry, as listed in the Alexandria database.

Cell: 3.3577 3.3577 27.8636 Å, 90.00 90.00 120.00°
Space group R3m (No. 160, hexagonal axes)
Unique sites:
Si  0.0000  0.0000  0.0000 [3 per cell]
Ir  0.0000  0.0000  0.2851 [3 per cell]
Br  0.0000  0.0000  0.5432 [3 per cell]
Br  0.0000  0.0000  0.7343 [3 per cell]

Output
Energy above the lowest structure with this stoichiometry = 0.61 eV per formula unit
E_form (uncorrected) = -20 meV per atom
Magnetization = 0.000 μB per formula unit
Calculated density = 7.0 g/cm3



Entry 18:
First-principles (PBE) data for crystalline SrBiRh2N at its relaxed geometry, as listed in the Alexandria database.

Cell: 4.343 4.343 4.991 Å, 90.00 90.00 90.00°
Space group P4/mmm (No. 123)
Unique sites:
Sr  0.000  0.000  0.000 [1 per cell]
Bi  0.500  0.500  0.000 [1 per cell]
Rh  0.000  0.500  0.500 [2 per cell]
N  0.500  0.500  0.500 [1 per cell]

Output
E_form (uncorrected) = 261 meV per atom
Magnetization = 0.625 μB per formula unit
Calculated density = 9.1 g/cm3



Entry 19:
First-principles (PBE) data for crystalline Mg3TaAg at its relaxed geometry, as listed in the Alexandria database.

Cell: 5.429 5.429 5.429 Å, 90.00 90.00 90.00°
Space group Pm-3m (No. 221)
Unique sites:
Mg  0.000  0.000  0.500 [3 per cell]
Ta  0.000  0.000  0.000 [1 per cell]
Ag  0.500  0.500  0.500 [1 per cell]

Output
Energy above the lowest structure with this stoichiometry = 2.23 eV per formula unit
DFT formation energy = 1369 meV per atom
Magnetization = 3.283 μB per formula unit
Calculated density = 3.8 g/cm3



Entry 20:
First-principles (PBE) data for crystalline Ag3W at its relaxed geometry, as listed in the Alexandria database.

Cell: 4.781 9.736 5.952 Å, 90.00 90.00 90.00°
Space group Pnma (No. 62)
Unique sites:
Ag  0.080  0.250  0.134 [4 per cell]
Ag  0.246  0.001  0.377 [8 per cell]
W  0.076  0.250  0.644 [4 per cell]

Output
Energy above the lowest structure with this stoichiometry = 0.73 eV per formula unit
DFT formation energy = 572 meV per atom
Magnetization = 0.000 μB per formula unit
Calculated density = 12.2 g/cm3